VASP calculation (PBE) on a geometry-optimized BiTeH3 structure.

Lattice parameters (Å, degrees): 4.2297 4.2297 4.2297 90.00 90.00 90.00
Closest atoms and distances in Å follow each position.
Fractional coordinates of all 5 atoms:
1 Bi 0.0000 0.0000 0.0000  6 H 2.11
2 Te 0.5000 0.5000 0.5000  12 H 2.99
3 H 0.0000 0.0000 0.5000  2 Bi 2.11
4 H 0.0000 0.5000 0.0000  2 Bi 2.11
5 H 0.5000 0.0000 0.0000  2 Bi 2.11

Values from the calculation:
The final energy is -2.7206 eV/atom. For the density of states at the Fermi level, the calculation gives 3.72 states/eV/f.u. Its energy above the most stable polymorph in this dataset is 0.0 meV per atom. As for the space group: Pm-3m (221).

=====

VASP calculation (PBE) on a geometry-optimized BiTeH2 structure.

Lattice parameters (Å, degrees): 7.5720 7.5720 7.5720 144.22 144.22 51.50
Closest atoms and distances in Å follow each position.
Fractional coordinates of all 8 atoms:
1 Bi 0.0000 0.0000 0.0000  4 H 2.15
2 Bi 0.7500 0.2500 0.5000  4 H 2.15
3 Te 0.2500 0.7500 0.5000  4 H 2.68
4 Te 0.5000 0.5000 0.0000  4 H 2.68
5 H 0.0082 0.6250 0.8832  2 Bi 2.15
6 H 0.3750 0.2582 0.3832  2 Bi 2.15
7 H 0.7418 0.1250 0.1168  2 Bi 2.15
8 H 0.8750 0.9918 0.6168  2 Bi 2.15

Values from the calculation:
The final energy is -2.9077 eV/atom. For the density of states at the Fermi level, the calculation gives 1.90 states/eV/f.u. Its energy above the most stable polymorph in this dataset is 413.6 meV per atom. As for the space group: I-42d (122).

=====

VASP calculation (PBE) on a geometry-optimized BiTeH3 structure.

Lattice parameters (Å, degrees): 4.1494 4.1494 4.1494 90.00 90.00 90.00
Closest atoms and distances in Å follow each position.
Fractional coordinates of all 5 atoms:
1 Bi 0.0000 0.0000 0.0000  12 H 2.93
2 Te 0.5000 0.5000 0.5000  6 H 2.07
3 H 0.0000 0.5000 0.5000  2 Te 2.07
4 H 0.5000 0.0000 0.5000  2 Te 2.07
5 H 0.5000 0.5000 0.0000  2 Te 2.07

Values from the calculation:
The final energy is -2.6461 eV/atom. For the density of states at the Fermi level, the calculation gives 3.16 states/eV/f.u. Its energy above the most stable polymorph in this dataset is 74.5 meV per atom. As for the space group: Pm-3m (221).

=====

VASP calculation (PBE) on a geometry-optimized BiTe2H structure.

Lattice parameters (Å, degrees): 5.2475 5.2475 5.2475 60.00 60.00 60.00
Closest atoms and distances in Å follow each position.
Fractional coordinates of all 4 atoms:
1 Bi 0.0000 0.0000 0.0000  8 Te 3.21
2 Te 0.2500 0.2500 0.2500  4 H 3.21, 4 Bi 3.21
3 Te 0.7500 0.7500 0.7500  4 H 3.21, 4 Bi 3.21
4 H 0.5000 0.5000 0.5000  8 Te 3.21

Values from the calculation:
The final energy is -2.8338 eV/atom. For the density of states at the Fermi level, the calculation gives 2.27 states/eV/f.u. Its energy above the most stable polymorph in this dataset is 568.9 meV per atom. As for the space group: Fm-3m (225).

=====

VASP calculation (PBE) on a geometry-optimized BiTe3H structure.

Lattice parameters (Å, degrees): 4.9105 4.9105 4.9105 90.00 90.00 90.00
Closest atoms and distances in Å follow each position.
Fractional coordinates of all 5 atoms:
1 Bi 0.0000 0.0000 0.0000  12 Te 3.47
2 Te 0.0000 0.5000 0.5000  2 H 2.46
3 Te 0.5000 0.0000 0.5000  2 H 2.46
4 Te 0.5000 0.5000 0.0000  2 H 2.46
5 H 0.5000 0.5000 0.5000  6 Te 2.46

Values from the calculation:
The final energy is -2.8199 eV/atom. For the density of states at the Fermi level, the calculation gives 3.13 states/eV/f.u. Its energy above the most stable polymorph in this dataset is 0.0 meV per atom. As for the space group: Pm-3m (221).

=====

VASP calculation (PBE) on a geometry-optimized Bi2TeH2 structure.

Lattice parameters (Å, degrees): 6.8309 6.8309 6.8309 145.85 145.85 49.07
Closest atoms and distances in Å follow each position.
Fractional coordinates of all 5 atoms:
1 Bi 0.1436 0.1436 0.0000  4 H 2.40
2 Bi 0.8564 0.8564 0.0000  4 H 2.40
3 Te 0.5000 0.5000 0.0000  8 Bi 3.35, 8 H 3.70
4 H 0.2500 0.7500 0.5000  4 Bi 2.40
5 H 0.7500 0.2500 0.5000  4 Bi 2.40

Values from the calculation:
The final energy is -3.1476 eV/atom. For the density of states at the Fermi level, the calculation gives 2.91 states/eV/f.u. As for the space group: I4/mmm (139).

=====

VASP calculation (PBE) on a geometry-optimized Ti2BiTeH structure.

Lattice parameters (Å, degrees): 5.2176 5.2176 6.0003 90.00 90.00 90.00
Closest atoms and distances in Å follow each position.
Fractional coordinates of all 5 atoms:
1 Ti 0.0000 0.5000 0.0000  2 Te 2.61
2 Ti 0.5000 0.0000 0.0000  2 Te 2.61
3 Bi 0.0000 0.0000 0.5000  2 Te 3.00
4 Te 0.0000 0.0000 0.0000  4 Ti 2.61
5 H 0.5000 0.5000 0.5000  4 Bi 3.69, 8 Ti 3.98

Values from the calculation:
The final energy is -3.9272 eV/atom. For the density of states at the Fermi level, the calculation gives 9.32 states/eV/f.u. As for the space group: P4/mmm (123).

=====

VASP calculation (PBE) on a geometry-optimized U2BiTeH2 structure.

Lattice parameters (Å, degrees): 3.9853 3.9853 8.6934 90.00 90.00 120.00
Closest atoms and distances in Å follow each position.
Fractional coordinates of all 6 atoms:
1 U 0.3333 0.6667 0.2473  3 H 2.30
2 U 0.6667 0.3333 0.7527  3 H 2.30
3 Bi 0.0000 0.0000 0.5000  6 H 3.18, 6 U 3.18
4 Te 0.0000 0.0000 0.0000  6 U 3.15, 6 H 3.15
5 H 0.3333 0.6667 0.7527  3 U 2.30
6 H 0.6667 0.3333 0.2473  3 U 2.30

Values from the calculation:
The final energy is -6.3849 eV/atom. For the density of states at the Fermi level, the calculation gives 9.04 states/eV/f.u. As for the space group: P-3m1 (164).